1.
Here is crystalline BaLi2Tc at its relaxed geometry from Alexandria via LeMat-Bulk. Energies are from PBE-GGA.

Its formation energy from the elements is 0.69 eV/atom. As for the energy above the most stable polymorph in this dataset: 0.049 eV/atom.

Cell lengths 9.179, 2.996, 6.837 Å; angles 90.00, 95.54, 90.00 degrees
Space group Cm (No. 8)
Inequivalent atoms, fractional coordinates:
1 Ba 0.000 0.000 0.000 [2 per cell]
2 Li 0.231 0.000 0.614 [2 per cell]
3 Li 0.489 0.000 0.438 [2 per cell]
4 Tc 0.247 0.500 0.283 [2 per cell]

2.
Here is crystalline BaLiTc at its relaxed geometry from Alexandria via LeMat-Bulk. Energies are from PBE-GGA.

Its formation energy from the elements is 1.12 eV/atom. As for the energy above the most stable polymorph in this dataset: 0.257 eV/atom.

Cell lengths 7.100, 7.100, 7.100 Å; angles 90.00, 90.00, 90.00 degrees
Space group F-43m (No. 216)
Inequivalent atoms, fractional coordinates:
1 Ba 0.000 0.000 0.000 [4 per cell]
2 Li 0.000 0.000 0.500 [4 per cell]
3 Tc 0.250 0.250 0.250 [4 per cell]

3.
Here is crystalline BaLiTc4 at its relaxed geometry from Alexandria via LeMat-Bulk. Energies are from PBE-GGA.

Its formation energy from the elements is 0.76 eV/atom.

Cell lengths 7.668, 7.668, 7.668 Å; angles 90.00, 90.00, 90.00 degrees
Space group F-43m (No. 216)
Inequivalent atoms, fractional coordinates:
1 Ba 0.000 0.000 0.000 [4 per cell]
2 Li 0.250 0.250 0.750 [4 per cell]
3 Tc 0.125 0.125 0.375 [16 per cell]

4.
Here is crystalline BaLi2Tc at its relaxed geometry from Alexandria via LeMat-Bulk. Energies are from PBE-GGA.

Its formation energy from the elements is 0.74 eV/atom. As for the energy above the most stable polymorph in this dataset: 0.104 eV/atom.

Cell lengths 3.477, 5.284, 9.721 Å; angles 90.00, 90.00, 90.00 degrees
Space group Imm2 (No. 44)
Inequivalent atoms, fractional coordinates:
1 Ba 0.000 0.000 0.000 [2 per cell]
2 Li 0.000 0.000 0.526 [2 per cell]
3 Li 0.000 0.500 0.781 [2 per cell]
4 Tc 0.000 0.500 0.239 [2 per cell]

5.
Here is crystalline BaLiTc at its relaxed geometry from Alexandria via LeMat-Bulk. Energies are from PBE-GGA.

Its formation energy from the elements is 0.86 eV/atom. As for the energy above the most stable polymorph in this dataset: 0.000 eV/atom.

Cell lengths 3.044, 4.070, 11.182 Å; angles 90.00, 90.00, 90.00 degrees
Space group Imm2 (No. 44)
Inequivalent atoms, fractional coordinates:
1 Ba 0.000 0.000 0.000 [2 per cell]
2 Li 0.000 0.000 0.717 [2 per cell]
3 Tc 0.000 0.000 0.303 [2 per cell]

6.
Here is crystalline BaLiTc at its relaxed geometry from Alexandria via LeMat-Bulk. Energies are from PBE-GGA.

Its formation energy from the elements is 1.06 eV/atom. As for the energy above the most stable polymorph in this dataset: 0.200 eV/atom.

Cell lengths 3.3518, 3.3518, 7.6328 Å; angles 90.00, 90.00, 120.00 degrees
Space group P3m1 (No. 156)
Inequivalent atoms, fractional coordinates:
1 Ba 0.0000 0.0000 0.0000 [1 per cell]
2 Li 0.6667 0.3333 0.4341 [1 per cell]
3 Tc 0.3333 0.6667 0.6848 [1 per cell]

7.
Here is crystalline BaLi2Tc at its relaxed geometry from Alexandria via LeMat-Bulk. Energies are from PBE-GGA.

Its formation energy from the elements is 0.75 eV/atom. As for the energy above the most stable polymorph in this dataset: 0.107 eV/atom.

Cell lengths 7.150, 7.150, 7.150 Å; angles 90.00, 90.00, 90.00 degrees
Space group Fm-3m (No. 225)
Inequivalent atoms, fractional coordinates:
1 Ba 0.000 0.000 0.000 [4 per cell]
2 Li 0.250 0.250 0.250 [8 per cell]
3 Tc 0.000 0.000 0.500 [4 per cell]

8.
Here is crystalline BaLi2Tc at its relaxed geometry from Alexandria via LeMat-Bulk. Energies are from PBE-GGA.

Its formation energy from the elements is 0.86 eV/atom. As for the energy above the most stable polymorph in this dataset: 0.223 eV/atom.

Cell lengths 4.572, 4.572, 20.518 Å; angles 90.00, 90.00, 90.00 degrees
Space group I-42d (No. 122)
Inequivalent atoms, fractional coordinates:
1 Ba 0.000 0.000 0.000 [4 per cell]
2 Li 0.133 0.250 0.625 [8 per cell]
3 Tc 0.000 0.000 0.500 [4 per cell]

9.
Here is crystalline BaLi2Tc at its relaxed geometry from Alexandria via LeMat-Bulk. Energies are from PBE-GGA.

Its formation energy from the elements is 0.80 eV/atom. As for the energy above the most stable polymorph in this dataset: 0.165 eV/atom.

Cell lengths 3.2888, 3.2888, 30.2396 Å; angles 90.00, 90.00, 120.00 degrees
Space group R3m (No. 160, hexagonal axes)
Inequivalent atoms, fractional coordinates:
1 Ba 0.0000 0.0000 0.0000 [3 per cell]
2 Li 0.0000 0.0000 0.2260 [3 per cell]
3 Li 0.0000 0.0000 0.4806 [3 per cell]
4 Tc 0.0000 0.0000 0.7492 [3 per cell]

10.
Here is crystalline BaLi2Te2 at its relaxed geometry from Alexandria via LeMat-Bulk. Energies are from PBE-GGA.

As for the energy above the most stable polymorph in this dataset: 0.000 eV/atom.

Cell lengths 4.445, 4.445, 14.676 Å; angles 90.00, 90.00, 90.00 degrees
Space group I4/mmm (No. 139)
Inequivalent atoms, fractional coordinates:
1 Ba 0.000 0.000 0.000 [2 per cell]
2 Li 0.000 0.500 0.250 [4 per cell]
3 Te 0.000 0.000 0.366 [4 per cell]

11.
Here is crystalline Ba3LiTe at its relaxed geometry from Alexandria via LeMat-Bulk. Energies are from PBE-GGA.

As for the energy above the most stable polymorph in this dataset: 0.000 eV/atom.

Cell lengths 6.715, 6.715, 6.715 Å; angles 90.00, 90.00, 90.00 degrees
Space group Pm-3m (No. 221)
Inequivalent atoms, fractional coordinates:
1 Ba 0.000 0.000 0.500 [3 per cell]
2 Li 0.500 0.500 0.500 [1 per cell]
3 Te 0.000 0.000 0.000 [1 per cell]

12.
Here is crystalline Ba2LiTe at its relaxed geometry from Alexandria via LeMat-Bulk. Energies are from PBE-GGA.

Its total energy is -2.967 eV/atom.

Cell lengths 8.354, 8.380, 4.393 Å; angles 90.00, 90.00, 90.00 degrees
Space group Cmmm (No. 65)
Inequivalent atoms, fractional coordinates:
1 Ba 0.250 0.250 0.000 [4 per cell]
2 Li 0.000 0.000 0.500 [2 per cell]
3 Te 0.000 0.500 0.500 [2 per cell]